# Sc2ReSnO

An optimized crystal structure of Sc2ReSnO (PBE-GGA, the Alexandria database).

**ΔE_f (raw)**: -4.34 eV per formula unit
**N(E_F)**: 2.49 states/eV/f.u.
**SG**: P4/mmm, No. 123
**Magnetic moment**: 0.68 μB/f.u.

a = 4.1924 Å, b = 4.8259 Å, c = 4.1924 Å
α = 90.00°, β = 90.00°, γ = 90.00°
Last column: magnetic moment on the atom in μB.
Atoms (fractional coordinates):
Sc 0.0000 0.0000 0.5000  -0.06
Sc 0.5000 0.0000 0.0000  -0.03
Re 0.5000 0.5000 0.5000  0.71
Sn 0.0000 0.5000 0.0000  -0.01
O 0.0000 0.0000 0.0000  0.00


# Sr2ScReO8

An optimized crystal structure of Sr2ScReO8 (PBE-GGA, the Alexandria database).

**ΔE_f (raw)**: -25.87 eV per formula unit
**SG**: P-1, No. 2
**Magnetic moment**: 0.00 μB/f.u.

a = 5.3470 Å, b = 4.8040 Å, c = 6.3858 Å
α = 76.89°, β = 98.44°, γ = 88.60°
Atoms (fractional coordinates):
Sr 0.4973 0.4257 0.7690
Sr 0.5027 0.5743 0.2310
Sc 0.0000 0.0000 0.5000
Re 0.0000 0.0000 0.0000
O 0.0695 0.7333 0.2923
O 0.6931 0.8452 0.9383
O 0.8489 0.2415 0.1525
O 0.9305 0.2667 0.7077
O 0.3069 0.1548 0.0617
O 0.1511 0.7585 0.8475
O 0.5994 0.8917 0.4941
O 0.4006 0.1083 0.5059


# SrSc2ReO8

An optimized crystal structure of SrSc2ReO8 (PBE-GGA, the Alexandria database).

**ΔE_f (raw)**: -29.40 eV per formula unit
**SG**: P2/m, No. 10
**Magnetic moment**: 1.00 μB/f.u.

a = 4.8556 Å, b = 4.8311 Å, c = 6.8640 Å
α = 90.00°, β = 90.00°, γ = 89.73°
Last column: magnetic moment on the atom in μB.
Atoms (fractional coordinates):
Sr 0.0000 0.0000 0.5000  0.04
Sc 0.5000 0.5000 0.7651  -0.01
Sc 0.5000 0.5000 0.2349  -0.01
Re 0.0000 0.0000 0.0000  0.00
O 0.1899 0.8033 0.1949  0.00
O 0.7132 0.7190 0.0000  0.01
O 0.8101 0.1967 0.1948  0.00
O 0.8101 0.1967 0.8051  0.00
O 0.2868 0.2810 0.0000  0.01
O 0.1899 0.8033 0.8052  0.00
O 0.6453 0.6616 0.5000  0.41
O 0.3547 0.3384 0.5000  0.41


# SrScRe2O8

An optimized crystal structure of SrScRe2O8 (PBE-GGA, the Alexandria database).

**ΔE_f (raw)**: -24.61 eV per formula unit
**N(E_F)**: 6.77 states/eV/f.u.
**SG**: P-3m1, No. 164
**Magnetic moment**: 3.03 μB/f.u.

a = 5.8440 Å, b = 5.8440 Å, c = 6.9176 Å
α = 90.00°, β = 90.00°, γ = 120.00°
Last column: magnetic moment on the atom in μB.
Atoms (fractional coordinates):
Sr 0.0000 0.0000 0.0000  0.01
Sc 0.0000 0.0000 0.5000  0.19
Re 0.6667 0.3333 0.2274  0.95
Re 0.3333 0.6667 0.7726  0.95
O 0.3333 0.6667 0.0316  0.12
O 0.3195 0.1598 0.3045  0.05
O 0.8402 0.1597 0.3045  0.05
O 0.6667 0.3333 0.9684  0.12
O 0.1598 0.8403 0.6955  0.05
O 0.6805 0.8402 0.6955  0.05
O 0.1597 0.3195 0.6955  0.05
O 0.8403 0.6805 0.3045  0.05


# SrScReO6

An optimized crystal structure of SrScReO6 (PBE-GGA, the Alexandria database).

**ΔE_f (raw)**: -22.51 eV per formula unit
**N(E_F)**: 0.00 states/eV/f.u.
**SG**: P312, No. 149
**Magnetic moment**: 0.00 μB/f.u.

a = 5.3528 Å, b = 5.3528 Å, c = 5.3288 Å
α = 90.00°, β = 90.00°, γ = 60.00°
Atoms (fractional coordinates):
Sr 0.0000 0.0000 0.0000
Sc 0.6666 0.6667 0.5000
Re 0.3333 0.3333 0.5000
O 0.0281 0.3617 0.2964
O 0.3617 0.0281 0.7035
O 0.6102 0.3617 0.7035
O 0.0280 0.6103 0.7035
O 0.3617 0.6102 0.2964
O 0.6102 0.0281 0.2964


# Sc2TaReO

An optimized crystal structure of Sc2TaReO (PBE-GGA, the Alexandria database).

**ΔE_f (raw)**: -3.29 eV per formula unit
**N(E_F)**: 5.23 states/eV/f.u.
**SG**: P4/mmm, No. 123
**Magnetic moment**: 0.00 μB/f.u.

a = 4.2835 Å, b = 4.2999 Å, c = 4.2835 Å
α = 90.00°, β = 90.00°, γ = 90.00°
Atoms (fractional coordinates):
Sc 0.0000 0.0000 0.5000
Sc 0.5000 0.0000 0.0000
Re 0.0000 0.5000 0.0000
O 0.0000 0.0000 0.0000
Ta 0.5000 0.5000 0.5000


# TbSc2ReO8

An optimized crystal structure of TbSc2ReO8 (PBE-GGA, the Alexandria database).

**ΔE_f (raw)**: -33.12 eV per formula unit
**N(E_F)**: 0.00 states/eV/f.u.
**SG**: Cmmm, No. 65
**Magnetic moment**: 0.00 μB/f.u.

a = 4.8757 Å, b = 4.8729 Å, c = 6.5242 Å
α = 90.00°, β = 90.00°, γ = 89.81°
Atoms (fractional coordinates):
Tb 0.0000 0.0000 0.5000
Sc 0.5000 0.5000 0.7419
Sc 0.5000 0.5000 0.2581
Re 0.0000 0.0000 0.0000
O 0.1914 0.8081 0.2097
O 0.7232 0.7236 0.0000
O 0.8086 0.1919 0.2097
O 0.8086 0.1919 0.7903
O 0.2768 0.2764 0.0000
O 0.1914 0.8081 0.7903
O 0.6824 0.6830 0.5000
O 0.3176 0.3170 0.5000


# ScTlReO2

An optimized crystal structure of ScTlReO2 (PBE-GGA, the Alexandria database).

**ΔE_f (raw)**: 5.63 eV per formula unit
**N(E_F)**: 3.13 states/eV/f.u.
**SG**: P4/mmm, No. 123
**Magnetic moment**: 3.16 μB/f.u.

a = 4.1498 Å, b = 6.2183 Å, c = 4.1498 Å
α = 90.00°, β = 90.00°, γ = 90.00°
Last column: magnetic moment on the atom in μB.
Atoms (fractional coordinates):
Sc 0.0000 0.5000 0.0000  -0.20
Re 0.5000 0.5000 0.5000  2.53
Tl 0.0000 0.0000 0.0000  0.00
O 0.0000 0.0000 0.5000  0.18
O 0.5000 0.0000 0.0000  0.15


# YSc2ReO8

An optimized crystal structure of YSc2ReO8 (PBE-GGA, the Alexandria database).

**ΔE_f (raw)**: -33.10 eV per formula unit
**N(E_F)**: 0.00 states/eV/f.u.
**SG**: Cmmm, No. 65
**Magnetic moment**: 0.00 μB/f.u.

a = 4.8721 Å, b = 4.8708 Å, c = 6.5130 Å
α = 90.00°, β = 90.00°, γ = 89.99°
Atoms (fractional coordinates):
Y 0.0000 0.0000 0.5000
Sc 0.5000 0.5000 0.7419
Sc 0.5000 0.5000 0.2581
Re 0.0000 0.0000 0.0000
O 0.1912 0.8083 0.2099
O 0.7225 0.7230 0.0000
O 0.8088 0.1917 0.2099
O 0.8088 0.1917 0.7901
O 0.2775 0.2770 0.0000
O 0.1912 0.8083 0.7901
O 0.6833 0.6839 0.5000
O 0.3167 0.3161 0.5000


# YScReO2

An optimized crystal structure of YScReO2 (PBE-GGA, the Alexandria database).

**ΔE_f (raw)**: -1.13 eV per formula unit
**N(E_F)**: 3.21 states/eV/f.u.
**SG**: P4/mmm, No. 123
**Magnetic moment**: 2.98 μB/f.u.

a = 3.9925 Å, b = 8.1550 Å, c = 3.9925 Å
α = 90.00°, β = 90.00°, γ = 90.00°
Last column: magnetic moment on the atom in μB.
Atoms (fractional coordinates):
Y 0.0000 0.5000 0.0000  -0.06
Re 0.5000 0.5000 0.5000  1.89
Sc 0.0000 0.0000 0.0000  -0.06
O 0.0000 0.0000 0.5000  0.39
O 0.5000 0.0000 0.0000  0.35


# ZrSc2ReO

An optimized crystal structure of ZrSc2ReO (PBE-GGA, the Alexandria database).

**ΔE_f (raw)**: -5.70 eV per formula unit
**N(E_F)**: 4.12 states/eV/f.u.
**SG**: P4/mmm, No. 123
**Magnetic moment**: 0.00 μB/f.u.

a = 4.2405 Å, b = 4.2405 Å, c = 4.6128 Å
α = 90.00°, β = 90.00°, γ = 90.00°
Atoms (fractional coordinates):
Zr 0.0000 0.0000 0.5000
Sc 0.0000 0.5000 0.9999
Sc 0.5000 0.0000 0.9999
Re 0.5000 0.5000 0.5002
O 0.0000 0.0000 0.0001


# ReSeO3

An optimized crystal structure of ReSeO3 (PBE-GGA, the Alexandria database).

**ΔE_f (raw)**: -2.34 eV per formula unit
**N(E_F)**: 3.30 states/eV/f.u.
**SG**: Pm-3m, No. 221
**Magnetic moment**: 1.73 μB/f.u.

a = 3.9127 Å, b = 3.9127 Å, c = 3.9127 Å
α = 90.00°, β = 90.00°, γ = 90.00°
Last column: magnetic moment on the atom in μB.
Atoms (fractional coordinates):
Re 0.0000 0.0000 0.0000  0.27
O 0.0000 0.5000 0.0000  0.02
O 0.0000 0.0000 0.5000  0.09
O 0.5000 0.0000 0.0000  0.03
Se 0.5000 0.5000 0.5000  0.87


Question: The highest ΔE_f (raw) belongs to which entry?
Answer: ScTlReO2


Question: Among the records above, which one has the highest magnetic moment?
Answer: ScTlReO2


What did the ninth record say?
# YSc2ReO8

An optimized crystal structure of YSc2ReO8 (PBE-GGA, the Alexandria database).

**ΔE_f (raw)**: -33.10 eV per formula unit
**N(E_F)**: 0.00 states/eV/f.u.
**SG**: Cmmm, No. 65
**Magnetic moment**: 0.00 μB/f.u.

a = 4.8721 Å, b = 4.8708 Å, c = 6.5130 Å
α = 90.00°, β = 90.00°, γ = 89.99°
Atoms (fractional coordinates):
Y 0.0000 0.0000 0.5000
Sc 0.5000 0.5000 0.7419
Sc 0.5000 0.5000 0.2581
Re 0.0000 0.0000 0.0000
O 0.1912 0.8083 0.2099
O 0.7225 0.7230 0.0000
O 0.8088 0.1917 0.2099
O 0.8088 0.1917 0.7901
O 0.2775 0.2770 0.0000
O 0.1912 0.8083 0.7901
O 0.6833 0.6839 0.5000
O 0.3167 0.3161 0.5000